(1)
UPaTa after structural relaxation. Source: the Open Quantum Materials Database, functional PBE.

The structure in POSCAR format:
```
UPaTa
1.0
0.000 3.296 3.296
3.296 0.000 3.296
3.296 3.296 0.000
Pa Ta U
1 1 1
Cartesian
1.648 1.648 1.648 Pa
4.944 4.944 4.944 Ta
0.000 0.000 0.000 U
```

Summary:
ΔE_f = 0.94 eV/atom
V = 23.9 Å³ per atom
energy above the lowest structure with this stoichiometry = 0.000 eV/atom



(2)
PaTaW after structural relaxation. Source: the Open Quantum Materials Database, functional PBE.

The structure in POSCAR format:
```
PaTaW
1.0
0.000 3.216 3.216
3.216 0.000 3.216
3.216 3.216 0.000
Ta Pa W
1 1 1
Cartesian
1.608 1.608 1.608 Ta
0.000 0.000 0.000 Pa
4.825 4.825 4.825 W
```

Summary:
ΔE_f = 1.33 eV/atom
V = 22.2 Å³ per atom



(3)
PaTaZn after structural relaxation. Source: the Open Quantum Materials Database, functional PBE.

The structure in POSCAR format:
```
PaTaZn
1.0
-1.098 1.619 4.103
-4.184 -0.648 1.654
-0.654 -2.861 3.472
Zn Pa Ta
1 1 1
Cartesian
0.000 0.000 0.000 Zn
-1.484 -0.472 2.307 Pa
-4.452 -1.417 6.922 Ta
```

Summary:
ΔE_f = 0.64 eV/atom
V = 22.1 Å³ per atom



(4)
ZrPaTa after structural relaxation. Source: the Open Quantum Materials Database, functional PBE.

The structure in POSCAR format:
```
ZrPaTa
1.0
-3.390 -3.278 0.336
-0.419 -2.572 3.945
-3.676 0.689 2.892
Pa Zr Ta
1 1 1
Cartesian
-1.871 -1.290 1.793 Pa
0.000 0.000 0.000 Zr
-5.613 -3.870 5.380 Ta
```

Summary:
ΔE_f = 0.85 eV/atom
V = 24.9 Å³ per atom
energy above the lowest structure with this stoichiometry = 0.000 eV/atom



Raw total energy values, unit eV per atom, following the record order: -9.946 -10.106 -6.898 -9.117.